SrAcAlGe, optimized geometry, DFT PBE; calculated formation energy = -0.30 eV/atom; symmetry = F-43m, No. 216; total energy = -15.35 eV per cell; energy above the most stable polymorph in this dataset = 0.194 eV/atom
1.0
0.0000 3.9139 3.9139
3.9139 0.0000 3.9139
3.9139 3.9139 0.0000
Sr Ac Al Ge
1 1 1 1
direct
0.0000 0.0000 0.0000
0.5000 0.5000 0.5000
0.2500 0.2500 0.2500
0.7500 0.7500 0.7500